(1)
Density functional theory data (GGA-PBE) for crystalline Li2B2Rh5Pb at its relaxed geometry.

a b c (Å): 9.7218 9.7218 2.9502
angles (deg): 90.00 90.00 90.00
With the nearest neighbours (Å) after each atom.
Atoms (fractional coordinates):
Li: 0.1754 0.3246 0.0000  3 B 2.80-2.93, 10 Rh 2.83-2.97, 2 Li 2.95
Li: 0.3246 0.8246 0.0000  3 B 2.80-2.93, 10 Rh 2.83-2.97, 2 Li 2.95
Li: 0.6754 0.1754 0.0000  3 B 2.80-2.93, 10 Rh 2.83-2.97, 2 Li 2.95
Li: 0.8246 0.6754 0.0000  3 B 2.80-2.93, 10 Rh 2.83-2.97, 2 Li 2.95
B: 0.1213 0.6213 0.0000  6 Rh 2.14-2.23
B: 0.3787 0.1213 0.0000  6 Rh 2.14-2.23
B: 0.6213 0.8787 0.0000  6 Rh 2.14-2.23
B: 0.8787 0.3787 0.0000  6 Rh 2.14-2.23
Rh: 0.0000 0.5000 0.5000  4 B 2.23
Rh: 0.0713 0.7722 0.5000  2 B 2.14
Rh: 0.2278 0.0713 0.5000  2 B 2.14
Rh: 0.2722 0.5713 0.5000  2 B 2.14
Rh: 0.4287 0.2722 0.5000  2 B 2.14
Rh: 0.5000 0.0000 0.5000  4 B 2.23
Rh: 0.5713 0.7278 0.5000  2 B 2.14
Rh: 0.7278 0.4287 0.5000  2 B 2.14
Rh: 0.7722 0.9287 0.5000  2 B 2.14
Rh: 0.9287 0.2278 0.5000  2 B 2.14
Pb: 0.0000 0.0000 0.0000  8 Rh 2.75, 2 Pb 2.95
Pb: 0.5000 0.5000 0.0000  8 Rh 2.75, 2 Pb 2.95

Computed properties:
Its total magnetization is 0.00 μB per atom. The volume comes out at 13.94 Å³ per atom. For the raw total energy, the calculation gives -60.72 eV per formula unit. The space-group type is P4/mbm.



(2)
Density functional theory data (GGA-PBE) for crystalline LiBRh2Pb at its relaxed geometry.

a b c (Å): 4.1357 4.1357 4.3063
angles (deg): 90.00 90.00 90.00
With the nearest neighbours (Å) after each atom.
Atoms (fractional coordinates):
Li: 0.0000 0.0000 0.0000  2 B 2.15
B: 0.0000 0.0000 0.5000  4 Rh 2.07, 2 Li 2.15
Rh: 0.0000 0.5000 0.5000  2 B 2.07
Rh: 0.5000 0.0000 0.5000  2 B 2.07
Pb: 0.5000 0.5000 0.0000  4 Li 2.92, 8 Rh 2.99

Computed properties:
Its total magnetization is 0.00 μB per atom. The volume comes out at 14.73 Å³ per atom. For the raw total energy, the calculation gives -28.12 eV per formula unit. The space-group type is P4/mmm.



(3)
Density functional theory data (GGA-PBE) for crystalline Li2SnBPb at its relaxed geometry.

a b c (Å): 5.3857 5.3857 4.2719
angles (deg): 90.00 90.00 90.00
With the nearest neighbours (Å) after each atom.
Atoms (fractional coordinates):
Li: 0.0000 0.5000 0.0000  2 Pb 2.69
Li: 0.5000 0.0000 0.0000  2 Pb 2.69
Sn: 0.0000 0.0000 0.5000  8 Li 3.44, 4 B 3.81
B: 0.5000 0.5000 0.5000  2 Pb 2.14
Pb: 0.5000 0.5000 0.0000  2 B 2.14

Computed properties:
Its total magnetization is 0.00 μB per atom. The volume comes out at 24.78 Å³ per atom. For the raw total energy, the calculation gives -13.98 eV per formula unit. The space-group type is P4/mmm.



(4)
Density functional theory data (GGA-PBE) for crystalline LiY2BPb at its relaxed geometry.

a b c (Å): 5.0592 5.0592 4.4897
angles (deg): 90.00 90.00 90.00
With the nearest neighbours (Å) after each atom.
Atoms (fractional coordinates):
Li: 0.0000 0.0000 0.0000  2 B 2.24
Y: 0.0000 0.5000 0.5000  2 B 2.53
Y: 0.5000 0.0000 0.5000  2 B 2.53
B: 0.0000 0.0000 0.5000  2 Li 2.24
Pb: 0.5000 0.5000 0.0000  8 Y 3.38, 4 Li 3.58

Computed properties:
Its total magnetization is 0.00 μB per atom. The volume comes out at 22.98 Å³ per atom. For the raw total energy, the calculation gives -26.15 eV per formula unit. The space-group type is P4/mmm.



(5)
Density functional theory data (GGA-PBE) for crystalline LiBPd2 at its relaxed geometry.

a b c (Å): 5.8302 5.5928 6.0008
angles (deg): 90.00 90.00 90.00
With the nearest neighbours (Å) after each atom.
Atoms (fractional coordinates):
Li: 0.0127 0.2500 0.0080  2 B 2.36-2.45, 6 Pd 2.55-2.64
Li: 0.4873 0.7500 0.5080  2 B 2.36-2.45, 6 Pd 2.55-2.64
Li: 0.5127 0.2500 0.4920  2 B 2.36-2.45, 6 Pd 2.55-2.64
Li: 0.9873 0.7500 0.9920  2 B 2.36-2.45, 6 Pd 2.55-2.64
B: 0.1285 0.2500 0.6153  6 Pd 2.18-2.26, 1 Li 2.36
B: 0.3715 0.7500 0.1153  6 Pd 2.18-2.26, 1 Li 2.36
B: 0.6285 0.2500 0.8847  6 Pd 2.18-2.26, 1 Li 2.36
B: 0.8715 0.7500 0.3847  6 Pd 2.18-2.26, 1 Li 2.36
Pd: 0.1562 0.5051 0.3306  3 B 2.18-2.26
Pd: 0.1562 0.9949 0.3306  3 B 2.18-2.26
Pd: 0.3438 0.0051 0.8306  3 B 2.18-2.26
Pd: 0.3438 0.4949 0.8306  3 B 2.18-2.26
Pd: 0.6562 0.5051 0.1694  3 B 2.18-2.26
Pd: 0.6562 0.9949 0.1694  3 B 2.18-2.26
Pd: 0.8438 0.0051 0.6694  3 B 2.18-2.26
Pd: 0.8438 0.4949 0.6694  3 B 2.18-2.26

Computed properties:
Its total magnetization is 0.00 μB per atom. The volume comes out at 12.23 Å³ per atom. For the raw total energy, the calculation gives -20.37 eV per formula unit. The space-group type is Pnma.



(6)
Density functional theory data (GGA-PBE) for crystalline LiB2Pd at its relaxed geometry.

a b c (Å): 3.7453 3.7453 3.7453
angles (deg): 60.00 60.00 60.00
With the nearest neighbours (Å) after each atom.
Atoms (fractional coordinates):
Li: 0.0000 0.0000 0.0000  8 B 2.29
B: 0.2500 0.2500 0.2500  4 Li 2.29, 4 Pd 2.29
B: 0.7500 0.7500 0.7500  4 Pd 2.29, 4 Li 2.29
Pd: 0.5000 0.5000 0.5000  8 B 2.29

Computed properties:
Its total magnetization is 0.00 μB per atom. The volume comes out at 9.29 Å³ per atom. Its energy above the lowest structure with this stoichiometry is 284 meV per atom. The space-group type is Fm-3m.



(7)
Density functional theory data (GGA-PBE) for crystalline Li4BPd4 at its relaxed geometry.

a b c (Å): 5.6047 5.6047 5.6047
angles (deg): 98.09 98.09 135.95
With the nearest neighbours (Å) after each atom.
Atoms (fractional coordinates):
Li: 0.1639 0.1639 0.3279  2 Li 2.41, 6 Pd 2.49-2.60
Li: 0.1639 0.8361 0.0000  2 Li 2.41, 6 Pd 2.49-2.60
Li: 0.8361 0.1639 0.0000  2 Li 2.41, 6 Pd 2.49-2.60
Li: 0.8361 0.8361 0.6721  2 Li 2.41, 6 Pd 2.49-2.60
B: 0.5000 0.5000 0.0000  4 Pd 2.15
Pd: 0.2070 0.5000 0.7070  1 B 2.15
Pd: 0.5000 0.2070 0.7070  1 B 2.15
Pd: 0.5000 0.7930 0.2930  1 B 2.15
Pd: 0.7930 0.5000 0.2930  1 B 2.15

Computed properties:
Its total magnetization is 0.00 μB per atom. The volume comes out at 12.61 Å³ per atom. For the raw total energy, the calculation gives -38.18 eV per formula unit. The space-group type is I4/mmm.



(8)
Density functional theory data (GGA-PBE) for crystalline Li2B3Pd8 at its relaxed geometry.

a b c (Å): 6.1833 6.1833 6.3789
angles (deg): 108.84 108.84 51.59
With the nearest neighbours (Å) after each atom.
Atoms (fractional coordinates):
Li: 0.2379 0.2379 0.2452  6 Pd 2.47-2.60
Li: 0.7621 0.7621 0.7548  6 Pd 2.47-2.60
B: 0.3197 0.6803 0.5000  1 B 1.94, 2 Pd 2.17
B: 0.5000 0.5000 0.0000  6 Pd 2.08-2.11
B: 0.6803 0.3197 0.5000  1 B 1.94, 2 Pd 2.17
Pd: 0.1206 0.1206 0.5080  2 B 2.17
Pd: 0.1401 0.6419 0.1136  2 B 2.11-2.35
Pd: 0.3581 0.8599 0.8864  2 B 2.11-2.35
Pd: 0.3770 0.3770 0.6653  3 B 2.08-2.23
Pd: 0.6230 0.6230 0.3347  3 B 2.08-2.23
Pd: 0.6419 0.1401 0.1136  2 B 2.11-2.35
Pd: 0.8599 0.3581 0.8864  2 B 2.11-2.35
Pd: 0.8794 0.8794 0.4920  2 B 2.17

Computed properties:
Its total magnetization is 0.00 μB per atom. The volume comes out at 13.72 Å³ per atom. For the raw total energy, the calculation gives -67.51 eV per formula unit. The space-group type is C2/m.



(9)
Density functional theory data (GGA-PBE) for crystalline Li3BPd4 at its relaxed geometry.

a b c (Å): 6.6151 6.6151 4.0453
angles (deg): 107.59 107.59 35.60
With the nearest neighbours (Å) after each atom.
Atoms (fractional coordinates):
Li: 0.0000 0.0000 0.0000  8 Pd 2.44-2.45
Li: 0.2487 0.2487 0.2487  8 Pd 2.58-2.60, 4 Li 2.86
Li: 0.7513 0.7513 0.7513  8 Pd 2.58-2.60, 4 Li 2.86
B: 0.5000 0.5000 0.5000  8 Pd 2.43-2.45
Pd: 0.1148 0.1148 0.6156  6 Li 2.44-2.60, 2 B 2.44
Pd: 0.3852 0.3852 0.8833  2 B 2.43-2.45, 6 Li 2.44-2.60
Pd: 0.6148 0.6148 0.1167  2 B 2.43-2.45, 6 Li 2.44-2.60
Pd: 0.8852 0.8852 0.3844  6 Li 2.44-2.60, 2 B 2.44

Computed properties:
Its total magnetization is 0.00 μB per atom. The volume comes out at 12.21 Å³ per atom. Its energy above the lowest structure with this stoichiometry is 0 meV per atom. The space-group type is C2/m.



(10)
Density functional theory data (GGA-PBE) for crystalline LiB2Pd2 at its relaxed geometry.

a b c (Å): 6.1971 6.1971 2.8110
angles (deg): 90.00 90.00 90.00
With the nearest neighbours (Å) after each atom.
Atoms (fractional coordinates):
Li: 0.0000 0.0000 0.0000  4 B 2.58, 8 Pd 2.62, 2 Li 2.81
Li: 0.5000 0.5000 0.0000  4 B 2.58, 8 Pd 2.62, 2 Li 2.81
B: 0.0945 0.4055 0.0000  1 B 1.66
B: 0.4055 0.9055 0.0000  1 B 1.66
B: 0.5945 0.0945 0.0000  1 B 1.66
B: 0.9055 0.5945 0.0000  1 B 1.66
Pd: 0.2124 0.7124 0.5000  2 B 2.20
Pd: 0.2876 0.2124 0.5000  2 B 2.20
Pd: 0.7124 0.7876 0.5000  2 B 2.20
Pd: 0.7876 0.2876 0.5000  2 B 2.20

Computed properties:
Its total magnetization is 0.00 μB per atom. The volume comes out at 10.80 Å³ per atom. Its energy above the lowest structure with this stoichiometry is 0 meV per atom. The space-group type is P4/mbm.



(11)
Density functional theory data (GGA-PBE) for crystalline Li5BPd5 at its relaxed geometry.

a b c (Å): 5.0595 5.0595 8.1564
angles (deg): 97.44 97.44 50.43
With the nearest neighbours (Å) after each atom.
Atoms (fractional coordinates):
Li: 0.0000 0.0000 0.0000  2 Pd 2.61, 6 Li 2.67-2.86
Li: 0.2905 0.2905 0.1031  3 Pd 2.58-2.62, 4 Li 2.67-2.77
Li: 0.4153 0.4153 0.7752  4 Pd 2.48-2.64, 1 Li 2.73
Li: 0.5847 0.5847 0.2248  4 Pd 2.48-2.64, 1 Li 2.73
Li: 0.7095 0.7095 0.8969  3 Pd 2.58-2.62, 4 Li 2.67-2.77
B: 0.0000 0.0000 0.5000  6 Pd 2.08-2.16
Pd: 0.1281 0.1281 0.7346  1 B 2.10
Pd: 0.1903 0.1903 0.3885  1 B 2.08
Pd: 0.5000 0.5000 0.5000  2 B 2.16
Pd: 0.8097 0.8097 0.6115  1 B 2.08
Pd: 0.8719 0.8719 0.2654  1 B 2.10

Computed properties:
Its total magnetization is 0.00 μB per atom. The volume comes out at 14.48 Å³ per atom. For the raw total energy, the calculation gives -45.49 eV per formula unit. The space-group type is C2/m.